# TaInSe2 PBE-GGA relaxed
data_TaInSe2
_chemical_formula_sum 'Ta2 In2 Se4'
_symmetry_space_group_name_H-M 'P 1'
_symmetry_Int_Tables_number 1
_symmetry_space_group_name_Hall 'P 1'
_cell_length_a 14.911
_cell_length_b 14.911
_cell_length_c 3.801
_cell_angle_alpha 90.00
_cell_angle_beta 90.00
_cell_angle_gamma 167.06
loop_
_atom_site_label
_atom_site_fract_x
_atom_site_fract_y
_atom_site_fract_z
_atom_site_occupancy
Ta1 0.187 0.813 0.750 1
Ta2 0.813 0.187 0.250 1
In1 0.456 0.544 0.750 1
In2 0.544 0.456 0.250 1
Se1 0.283 0.717 0.750 1
Se2 0.379 0.621 0.250 1
Se3 0.621 0.379 0.750 1
Se4 0.717 0.283 0.250 1
# - E_form (uncorrected): -0.36 eV/atom
# - Volume: 95 Å³/f.u.
# - ρ: 7.960 g/cm3